No. 1
First-principles (PBE-GGA) data for a relaxed Dy4Mg2Hg crystal, as listed in Alexandria via LeMat-Bulk.

Cell: 7.414 7.414 7.447 Å, 90.00 90.00 90.00°
Fractional positions:
Dy: 0.250 0.250 0.250
Dy: 0.250 0.250 0.750
Dy: 0.250 0.750 0.250
Dy: 0.250 0.750 0.750
Dy: 0.750 0.250 0.250
Dy: 0.750 0.250 0.750
Dy: 0.750 0.750 0.250
Dy: 0.750 0.750 0.750
Mg: 0.000 0.500 0.000
Mg: 0.000 0.500 0.500
Mg: 0.500 0.000 0.000
Mg: 0.500 0.000 0.500
Hg: 0.000 0.000 0.000
Hg: 0.500 0.500 0.500

ΔE_f = -18 kJ/mol of formula units

No. 2
First-principles (PBE-GGA) data for a relaxed DyMg2Hg4 crystal, as listed in Alexandria via LeMat-Bulk.

Cell: 8.650 8.650 8.650 Å, 33.00 33.00 33.00°
Fractional positions:
Dy: 0.000 0.000 0.000
Mg: 0.249 0.249 0.249
Mg: 0.751 0.751 0.751
Hg: 0.130 0.130 0.130
Hg: 0.386 0.386 0.386
Hg: 0.614 0.614 0.614
Hg: 0.870 0.870 0.870

ΔE_f = -184 kJ/mol of formula units

No. 3
First-principles (PBE-GGA) data for a relaxed DyMg3Hg2 crystal, as listed in Alexandria via LeMat-Bulk.

Cell: 8.634 8.634 7.960 Å, 111.70 111.70 31.14°
Fractional positions:
Dy: 0.117 0.117 0.167
Dy: 0.883 0.883 0.833
Mg: 0.064 0.064 0.697
Mg: 0.308 0.308 0.092
Mg: 0.356 0.356 0.502
Mg: 0.644 0.644 0.498
Mg: 0.692 0.692 0.908
Mg: 0.936 0.936 0.303
Hg: 0.238 0.238 0.701
Hg: 0.489 0.489 0.176
Hg: 0.511 0.511 0.824
Hg: 0.762 0.762 0.299

energy relative to the lowest polymorph listed for this composition = 0.040 eV per atom
ΔE_f = -146 kJ/mol of formula units

No. 4
First-principles (PBE-GGA) data for a relaxed Dy2MgHg8 crystal, as listed in Alexandria via LeMat-Bulk.

Cell: 4.591 4.591 12.854 Å, 90.00 90.00 90.00°
Fractional positions:
Dy: 0.000 0.000 0.186
Dy: 0.000 0.000 0.814
Mg: 0.000 0.000 0.500
Hg: 0.000 0.500 0.000
Hg: 0.000 0.500 0.363
Hg: 0.000 0.500 0.637
Hg: 0.500 0.000 0.000
Hg: 0.500 0.000 0.363
Hg: 0.500 0.000 0.637
Hg: 0.500 0.500 0.181
Hg: 0.500 0.500 0.819

energy relative to the lowest polymorph listed for this composition = 0.000 eV per atom
ΔE_f = -278 kJ/mol of formula units

No. 5
First-principles (PBE-GGA) data for a relaxed Dy3Mg2Hg7 crystal, as listed in Alexandria via LeMat-Bulk.

Cell: 12.388 12.388 5.086 Å, 90.00 90.00 156.84°
Fractional positions:
Dy: 0.000 0.000 0.000
Dy: 0.160 0.840 0.000
Dy: 0.840 0.160 0.000
Mg: 0.348 0.652 0.500
Mg: 0.652 0.348 0.500
Hg: 0.079 0.921 0.500
Hg: 0.224 0.776 0.500
Hg: 0.414 0.586 0.000
Hg: 0.500 0.500 0.500
Hg: 0.586 0.414 0.000
Hg: 0.776 0.224 0.500
Hg: 0.921 0.079 0.500

ΔE_f = -256 kJ/mol of formula units

No. 6
First-principles (PBE-GGA) data for a relaxed Dy2Mg3Hg4 crystal, as listed in Alexandria via LeMat-Bulk.

Cell: 8.966 8.966 8.050 Å, 90.00 90.00 138.86°
Fractional positions:
Dy: 0.101 0.899 0.909
Dy: 0.399 0.601 0.409
Dy: 0.601 0.399 0.591
Dy: 0.899 0.101 0.091
Mg: 0.000 0.000 0.500
Mg: 0.021 0.479 0.750
Mg: 0.479 0.021 0.250
Mg: 0.500 0.500 0.000
Mg: 0.521 0.979 0.750
Mg: 0.979 0.521 0.250
Hg: 0.171 0.829 0.539
Hg: 0.192 0.308 0.750
Hg: 0.308 0.192 0.250
Hg: 0.329 0.671 0.039
Hg: 0.671 0.329 0.961
Hg: 0.692 0.808 0.750
Hg: 0.808 0.692 0.250
Hg: 0.829 0.171 0.461

energy relative to the lowest polymorph listed for this composition = 0.052 eV per atom
ΔE_f = -267 kJ/mol of formula units

No. 7
First-principles (PBE-GGA) data for a relaxed Dy6MgHg5 crystal, as listed in Alexandria via LeMat-Bulk.

Cell: 9.146 9.146 9.146 Å, 146.72 131.73 59.89°
Fractional positions:
Dy: 0.079 0.330 0.748
Dy: 0.241 0.000 0.241
Dy: 0.418 0.670 0.748
Dy: 0.582 0.330 0.252
Dy: 0.759 0.000 0.759
Dy: 0.921 0.670 0.252
Mg: 0.500 0.500 0.000
Hg: 0.000 0.500 0.500
Hg: 0.166 0.166 0.000
Hg: 0.347 0.847 0.500
Hg: 0.653 0.153 0.500
Hg: 0.834 0.834 0.000

ΔE_f = -484 kJ/mol of formula units

No. 8
First-principles (PBE-GGA) data for a relaxed Dy2Mg3Hg4 crystal, as listed in Alexandria via LeMat-Bulk.

Cell: 5.019 5.019 9.668 Å, 90.08 90.08 59.96°
Fractional positions:
Dy: 0.167 0.167 0.213
Dy: 0.833 0.833 0.787
Mg: 0.166 0.166 0.572
Mg: 0.500 0.500 0.000
Mg: 0.834 0.834 0.428
Hg: 0.166 0.166 0.896
Hg: 0.499 0.499 0.658
Hg: 0.501 0.501 0.342
Hg: 0.834 0.834 0.104

energy relative to the lowest polymorph listed for this composition = 0.000 eV per atom
ΔE_f = -312 kJ/mol of formula units

Repeat the third record exactly.
First-principles (PBE-GGA) data for a relaxed DyMg3Hg2 crystal, as listed in Alexandria via LeMat-Bulk.

Cell: 8.634 8.634 7.960 Å, 111.70 111.70 31.14°
Fractional positions:
Dy: 0.117 0.117 0.167
Dy: 0.883 0.883 0.833
Mg: 0.064 0.064 0.697
Mg: 0.308 0.308 0.092
Mg: 0.356 0.356 0.502
Mg: 0.644 0.644 0.498
Mg: 0.692 0.692 0.908
Mg: 0.936 0.936 0.303
Hg: 0.238 0.238 0.701
Hg: 0.489 0.489 0.176
Hg: 0.511 0.511 0.824
Hg: 0.762 0.762 0.299

energy relative to the lowest polymorph listed for this composition = 0.040 eV per atom
ΔE_f = -146 kJ/mol of formula units